(1)
A relaxed structure of La4NCl5, computed with PBE-GGA.

It has space group C2/m (No. 12), with a = 17.855 Å, b = 3.911 Å, c = 8.172 Å, α = 90.00°, β = 104.88° and γ = 90.00°. The distinct sites, in fractional coordinates, are La at (0.002, 0.000, 0.289), La at (0.145, 0.500, 0.587), N at (0.000, 0.500, 0.500), Cl at (0.000, 0.500, 0.000), Cl at (0.163, 0.000, 0.852) and Cl at (0.173, 0.000, 0.339).

As for the mass density: 4.5 g/cm³. As for the raw total energy: -56.825 eV per formula unit. The uncorrected formation energy is -1.956 eV per atom.


(2)
A relaxed structure of NaPtPb3, computed with PBE-GGA.

It has space group Pnma (No. 62), with a = 6.493 Å, b = 9.667 Å, c = 8.548 Å, α = 90.00°, β = 90.00° and γ = 90.00°. The distinct sites, in fractional coordinates, are Na at (0.247, 0.250, 0.126), Pt at (0.000, 0.000, 0.000), Pb at (0.125, 0.558, 0.320) and Pb at (0.244, 0.750, 0.009).

As for the energy above the most stable polymorph in this dataset: 50.3 meV/atom. As for the mass density: 10.4 g/cm³. As for the raw total energy: -19.205 eV per formula unit. The value obtained for the energy of formation is -0.1441 eV per atom.


(3)
A relaxed structure of ZnSi4Br, computed with PBE-GGA.

It has space group F-43m (No. 216), with a = 7.508 Å, b = 7.508 Å, c = 7.508 Å, α = 90.00°, β = 90.00° and γ = 90.00°. The distinct sites, in fractional coordinates, are Zn at (0.000, 0.000, 0.000), Si at (0.125, 0.125, 0.625) and Br at (0.250, 0.250, 0.250).

As for the mass density: 4.0 g/cm³. As for the raw total energy: -21.205 eV per formula unit. The uncorrected formation energy is 0.572 eV per atom.


(4)
A relaxed structure of Ho2Tm2In, computed with PBE-GGA.

It has space group I4/mmm (No. 139), with a = 4.289 Å, b = 4.289 Å, c = 17.189 Å, α = 90.00°, β = 90.00° and γ = 90.00°. The distinct sites, in fractional coordinates, are Ho at (0.000, 0.500, 0.250), Tm at (0.000, 0.000, 0.090) and In at (0.000, 0.000, 0.500).

As for the energy above the most stable polymorph in this dataset: 463.9 meV/atom. As for the mass density: 8.2 g/cm³. As for the raw total energy: -19.281 eV per formula unit. The value obtained for the energy of formation is 0.3112 eV per atom.


(5)
A relaxed structure of BeCuAs, computed with PBE-GGA.

It has space group P1 (No. 1), with a = 3.917 Å, b = 4.173 Å, c = 5.546 Å, α = 96.30°, β = 90.42° and γ = 90.45°. The distinct sites, in fractional coordinates, are Be at (0.000, 0.000, 0.000), Be at (0.435, 0.590, 0.464), Cu at (0.159, 0.086, 0.427), Cu at (0.195, 0.468, 0.844), As at (0.499, 0.961, 0.782) and As at (0.926, 0.543, 0.248).

As for the mass density: 5.4 g/cm³. As for the raw total energy: -12.454 eV per formula unit. The value obtained for the energy of formation is 0.0061 eV per atom.


(6)
A relaxed structure of Ba5PdAu, computed with PBE-GGA.

It has space group C2/c (No. 15), with a = 12.185 Å, b = 10.271 Å, c = 12.238 Å, α = 90.00°, β = 111.18° and γ = 90.00°. The distinct sites, in fractional coordinates, are Ba at (0.000, 0.243, 0.250), Ba at (0.099, 0.175, 0.643), Ba at (0.186, 0.460, 0.014), Pd at (0.250, 0.250, 0.500) and Au at (0.000, 0.431, 0.750).

As for the mass density: 4.6 g/cm³. As for the raw total energy: -20.375 eV per formula unit. The value obtained for the energy of formation is -0.3274 eV per atom.


(7)
A relaxed structure of Pr3YCl, computed with PBE-GGA.

It has space group Pm-3m (No. 221), with a = 5.516 Å, b = 5.516 Å, c = 5.516 Å, α = 90.00°, β = 90.00° and γ = 90.00°. The distinct sites, in fractional coordinates, are Pr at (0.000, 0.000, 0.500), Y at (0.500, 0.500, 0.500) and Cl at (0.000, 0.000, 0.000).

As for the mass density: 5.4 g/cm³. As for the raw total energy: -25.178 eV per formula unit. The uncorrected formation energy is -0.506 eV per atom.


(8)
A relaxed structure of YTa2P, computed with PBE-GGA.

It has space group P4/mmm (No. 123), with a = 3.351 Å, b = 3.351 Å, c = 6.912 Å, α = 90.00°, β = 90.00° and γ = 90.00°. The distinct sites, in fractional coordinates, are Y at (0.000, 0.000, 0.000), Ta at (0.500, 0.500, 0.316) and P at (0.000, 0.000, 0.500).

As for the mass density: 10.3 g/cm³. As for the raw total energy: -35.988 eV per formula unit. The value obtained for the energy of formation is -0.1022 eV per atom.


(9)
A relaxed structure of BeW, computed with PBE-GGA.

It has space group P4/mmm (No. 123), with a = 3.071 Å, b = 3.071 Å, c = 2.606 Å, α = 90.00°, β = 90.00° and γ = 90.00°. The distinct sites, in fractional coordinates, are Be at (0.000, 0.000, 0.000) and W at (0.500, 0.500, 0.500).

As for the energy above the most stable polymorph in this dataset: 486.1 meV/atom. As for the mass density: 13.0 g/cm³. As for the raw total energy: -16.163 eV per formula unit. The value obtained for the energy of formation is 0.2584 eV per atom.


(10)
A relaxed structure of LiPuNpO6, computed with PBE-GGA.

It has space group P-31c (No. 163), with a = 5.8030 Å, b = 5.8030 Å, c = 9.2841 Å, α = 90.00°, β = 90.00° and γ = 120.00°. The distinct sites, in fractional coordinates, are Li at (0.0000, 0.0000, 0.0000), Pu at (0.3333, 0.6667, 0.2500), Np at (0.3333, 0.6667, 0.7500) and O at (0.0103, 0.3701, 0.6400).

As for the mass density: 7.2 g/cm³. As for the raw total energy: -81.641 eV per formula unit. The uncorrected formation energy is -2.523 eV per atom.


(11)
A relaxed structure of Ho6SnSb5, computed with PBE-GGA.

It has space group C2/m (No. 12), with a = 7.563 Å, b = 13.123 Å, c = 7.569 Å, α = 90.00°, β = 109.53° and γ = 90.00°. The distinct sites, in fractional coordinates, are Ho at (0.250, 0.000, 0.250), Ho at (0.250, 0.167, 0.749), Sn at (0.000, 0.000, 0.500), Sb at (0.000, 0.167, 0.000), Sb at (0.000, 0.334, 0.500) and Sb at (0.000, 0.500, 0.000).

As for the mass density: 8.1 g/cm³. As for the raw total energy: -64.123 eV per formula unit. The uncorrected formation energy is -1.003 eV per atom.


(12)
A relaxed structure of Pm11Y4Er9, computed with PBE-GGA.

It has space group Cmmm (No. 65), with a = 16.891 Å, b = 25.662 Å, c = 3.647 Å, α = 90.00°, β = 90.00° and γ = 90.00°. The distinct sites, in fractional coordinates, are Pm at (0.000, 0.000, 0.000), Pm at (0.000, 0.161, 0.000), Pm at (0.000, 0.368, 0.000), Pm at (0.210, 0.500, 0.000), Pm at (0.223, 0.182, 0.000), Y at (0.157, 0.399, 0.500), Er at (0.000, 0.500, 0.500), Er at (0.102, 0.268, 0.500) and Er at (0.140, 0.073, 0.500).

As for the mass density: 7.3 g/cm³. As for the raw total energy: -117.684 eV per formula unit. The value obtained for the energy of formation is 0.0623 eV per atom.


(13)
A relaxed structure of CdFe, computed with PBE-GGA.

It has space group P6_3/mmc (No. 194), with a = 4.3818 Å, b = 4.3818 Å, c = 4.6563 Å, α = 90.00°, β = 90.00° and γ = 120.00°. The distinct sites, in fractional coordinates, are Cd at (0.3333, 0.6667, 0.2500) and Fe at (0.0000, 0.0000, 0.0000).

As for the mass density: 7.2 g/cm³. As for the raw total energy: -8.092 eV per formula unit. The value obtained for the energy of formation is 0.6430 eV per atom.


(14)
A relaxed structure of TbZr3Sc6, computed with PBE-GGA.

It has space group P2_1/m (No. 11), with a = 10.423 Å, b = 3.283 Å, c = 15.114 Å, α = 90.00°, β = 105.17° and γ = 90.00°. The distinct sites, in fractional coordinates, are Tb at (0.022, 0.250, 0.310), Zr at (0.254, 0.250, 0.034), Zr at (0.332, 0.750, 0.711), Zr at (0.452, 0.250, 0.587), Sc at (0.045, 0.750, 0.101), Sc at (0.137, 0.250, 0.550), Sc at (0.209, 0.750, 0.865), Sc at (0.276, 0.750, 0.420), Sc at (0.344, 0.250, 0.243) and Sc at (0.485, 0.250, 0.897).

As for the energy above the most stable polymorph in this dataset: 35.7 meV/atom. As for the mass density: 4.7 g/cm³. As for the raw total energy: -67.228 eV per formula unit. The value obtained for the energy of formation is 0.1036 eV per atom.


(15)
A relaxed structure of HfBeS2Cl, computed with PBE-GGA.

It has space group P4/mmm (No. 123), with a = 4.499 Å, b = 4.499 Å, c = 4.050 Å, α = 90.00°, β = 90.00° and γ = 90.00°. The distinct sites, in fractional coordinates, are Hf at (0.000, 0.000, 0.000), Be at (0.500, 0.500, 0.500), S at (0.000, 0.500, 0.500) and Cl at (0.500, 0.500, 0.000).

As for the energy above the most stable polymorph in this dataset: 0.0 meV/atom. As for the mass density: 5.8 g/cm³. As for the raw total energy: -25.462 eV per formula unit. The uncorrected formation energy is -0.336 eV per atom.


(16)
A relaxed structure of Rb3Pm3InS8, computed with PBE-GGA.

It has space group R-3m (No. 166, hexagonal axes), with a = 8.2136 Å, b = 8.2136 Å, c = 23.5723 Å, α = 90.00°, β = 90.00° and γ = 120.00°. The distinct sites, in fractional coordinates, are Rb at (0.0000, 0.5000, 0.0000), Pm at (0.0000, 0.5000, 0.5000), In at (0.0000, 0.0000, 0.5000), S at (0.0000, 0.0000, 0.2320) and S at (0.0139, 0.5069, 0.2295).

As for the mass density: 3.8 g/cm³. As for the raw total energy: -74.891 eV per formula unit. The uncorrected formation energy is -1.465 eV per atom.


(17)
A relaxed structure of Sr2Mg2Tl, computed with PBE-GGA.

It has space group P4/mbm (No. 127), with a = 9.490 Å, b = 9.490 Å, c = 4.185 Å, α = 90.00°, β = 90.00° and γ = 90.00°. The distinct sites, in fractional coordinates, are Sr at (0.168, 0.332, 0.000), Mg at (0.124, 0.624, 0.500) and Tl at (0.000, 0.000, 0.000).

As for the energy above the most stable polymorph in this dataset: 246.7 meV/atom. As for the mass density: 3.8 g/cm³. As for the raw total energy: -8.563 eV per formula unit. The value obtained for the energy of formation is 0.0712 eV per atom.


(18)
A relaxed structure of Nd2TlO, computed with PBE-GGA.

It has space group C2/m (No. 12), with a = 6.656 Å, b = 6.656 Å, c = 9.188 Å, α = 90.00°, β = 90.10° and γ = 90.00°. The distinct sites, in fractional coordinates, are Nd at (0.000, 0.250, 0.000), Nd at (0.249, 0.000, 0.669), Tl at (0.249, 0.500, 0.697) and O at (0.250, 0.000, 0.926).

As for the energy above the most stable polymorph in this dataset: 0.0 meV/atom. As for the mass density: 8.3 g/cm³. As for the raw total energy: -23.069 eV per formula unit. The uncorrected formation energy is -1.552 eV per atom.


(19)
A relaxed structure of Mn2MoRu2, computed with PBE-GGA.

It has space group P4/mbm (No. 127), with a = 7.010 Å, b = 7.010 Å, c = 2.704 Å, α = 90.00°, β = 90.00° and γ = 90.00°. The distinct sites, in fractional coordinates, are Mn at (0.121, 0.379, 0.000), Mo at (0.000, 0.000, 0.000) and Ru at (0.173, 0.673, 0.500).

As for the energy above the most stable polymorph in this dataset: 0.0 meV/atom. As for the mass density: 10.2 g/cm³. As for the raw total energy: -47.126 eV per formula unit. The value obtained for the energy of formation is 0.1193 eV per atom.


(20)
A relaxed structure of Dy8AlZn2, computed with PBE-GGA.

It has space group C2/m (No. 12), with a = 17.682 Å, b = 5.107 Å, c = 6.972 Å, α = 90.00°, β = 108.27° and γ = 90.00°. The distinct sites, in fractional coordinates, are Dy at (0.027, 0.000, 0.274), Dy at (0.092, 0.500, 0.964), Dy at (0.170, 0.500, 0.476), Dy at (0.195, 0.000, 0.810), Al at (0.000, 0.500, 0.500) and Zn at (0.182, 0.000, 0.209).

As for the energy above the most stable polymorph in this dataset: 0.0 meV/atom. As for the mass density: 8.1 g/cm³. As for the raw total energy: -44.876 eV per formula unit. The value obtained for the energy of formation is -0.1607 eV per atom.